[1]
# CdNi3Mo (PBE, optimized geometry)
data_CdNi3Mo
_cell_length_a 4.518
_cell_length_b 4.518
_cell_length_c 4.518
_cell_angle_alpha 90.00
_cell_angle_beta 90.00
_cell_angle_gamma 90.00
_symmetry_space_group_name_H-M 'P 1'
_symmetry_Int_Tables_number 1
loop_
_symmetry_equiv_pos_as_xyz
'x,y,z'
loop_
_atom_site_label
_atom_site_type_symbol
_atom_site_fract_x
_atom_site_fract_y
_atom_site_fract_z
Ni1 Ni 0.000 0.500 0.000
Ni2 Ni 0.000 0.000 0.500
Ni3 Ni 0.500 0.000 0.000
Mo1 Mo 0.000 0.000 0.000
Cd1 Cd 0.500 0.500 0.500
# DFT formation energy   1.14 eV per atom

[2]
# Cd3NiMo (PBE, optimized geometry)
data_Cd3NiMo
_cell_length_a 4.734
_cell_length_b 4.734
_cell_length_c 4.734
_cell_angle_alpha 90.00
_cell_angle_beta 90.00
_cell_angle_gamma 90.00
_symmetry_space_group_name_H-M 'P 1'
_symmetry_Int_Tables_number 1
loop_
_symmetry_equiv_pos_as_xyz
'x,y,z'
loop_
_atom_site_label
_atom_site_type_symbol
_atom_site_fract_x
_atom_site_fract_y
_atom_site_fract_z
Ni1 Ni 0.000 0.000 0.000
Mo1 Mo 0.500 0.500 0.500
Cd1 Cd 0.000 0.500 0.000
Cd2 Cd 0.000 0.000 0.500
Cd3 Cd 0.500 0.000 0.000
# DFT formation energy   1.05 eV per atom

[3]
# Cd2Ni2Mo (PBE, optimized geometry)
data_Cd2Ni2Mo
_cell_length_a 6.256
_cell_length_b 6.256
_cell_length_c 4.132
_cell_angle_alpha 90.00
_cell_angle_beta 90.00
_cell_angle_gamma 90.00
_symmetry_space_group_name_H-M 'P 1'
_symmetry_Int_Tables_number 1
loop_
_symmetry_equiv_pos_as_xyz
'x,y,z'
loop_
_atom_site_label
_atom_site_type_symbol
_atom_site_fract_x
_atom_site_fract_y
_atom_site_fract_z
Ni1 Ni 0.368 0.868 0.000
Ni2 Ni 0.868 0.632 0.000
Ni3 Ni 0.632 0.132 0.000
Ni4 Ni 0.132 0.368 0.000
Mo1 Mo 0.000 0.000 0.000
Mo2 Mo 0.500 0.500 0.000
Cd1 Cd 0.174 0.674 0.500
Cd2 Cd 0.674 0.826 0.500
Cd3 Cd 0.826 0.326 0.500
Cd4 Cd 0.326 0.174 0.500
# DFT formation energy   0.30 eV per atom

[4]
# Cd3NiMo (PBE, optimized geometry)
data_Cd3NiMo
_cell_length_a 5.327
_cell_length_b 5.327
_cell_length_c 5.327
_cell_angle_alpha 90.00
_cell_angle_beta 90.00
_cell_angle_gamma 90.00
_symmetry_space_group_name_H-M 'P 1'
_symmetry_Int_Tables_number 1
loop_
_symmetry_equiv_pos_as_xyz
'x,y,z'
loop_
_atom_site_label
_atom_site_type_symbol
_atom_site_fract_x
_atom_site_fract_y
_atom_site_fract_z
Ni1 Ni 0.500 0.500 0.500
Mo1 Mo 0.000 0.000 0.000
Cd1 Cd 0.000 0.500 0.000
Cd2 Cd 0.000 0.000 0.500
Cd3 Cd 0.500 0.000 0.000
# DFT formation energy   1.54 eV per atom